# 1
DFT (GGA-PBE) results for an optimized crystal structure of K5Na3Nb8O24.

a b c (Å): 8.0772 8.0772 8.0763
angles (deg): 90.00 90.00 90.00
Fractional positions:
O 0.0000 0.7509 0.7455
O 0.2493 0.2493 0.0000
O 0.0000 0.7509 0.2545
O 0.5000 0.7521 0.2535
O 0.7509 0.0000 0.7455
O 0.5000 0.2479 0.2535
O 0.5000 0.2479 0.7465
Nb 0.2494 0.2494 0.7482
K 0.0000 0.5000 0.0000
Na 0.5000 0.0000 0.5000
O 0.7517 0.2483 0.5000
Nb 0.7506 0.2494 0.7482
Nb 0.2494 0.7506 0.2518
Nb 0.7506 0.7506 0.7482
K 0.5000 0.5000 0.0000
Nb 0.7506 0.2494 0.2518
Na 0.0000 0.5000 0.5000
Nb 0.7506 0.7506 0.2518
Na 0.0000 0.0000 0.5000
O 0.2483 0.7517 0.5000
O 0.5000 0.7521 0.7465
O 0.7517 0.7517 0.5000
O 0.2491 0.0000 0.7455
O 0.2479 0.5000 0.2535
Nb 0.2494 0.7506 0.7482
K 0.5000 0.0000 0.0000
O 0.7507 0.7507 0.0000
O 0.7521 0.5000 0.2535
K 0.0000 0.0000 0.0000
O 0.2479 0.5000 0.7465
Nb 0.2494 0.2494 0.2518
O 0.2493 0.7507 0.0000
O 0.7507 0.2493 0.0000
O 0.2491 0.0000 0.2545
K 0.5000 0.5000 0.5000
O 0.0000 0.2491 0.7455
O 0.7509 0.0000 0.2545
O 0.7521 0.5000 0.7465
O 0.2483 0.2483 0.5000
O 0.0000 0.2491 0.2545

**Raw formation energy**: -2.42 eV/atom



# 2
DFT (GGA-PBE) results for an optimized crystal structure of Rb2BAu.

a b c (Å): 12.7322 12.7322 9.2390
angles (deg): 46.45 46.45 90.00
Fractional positions:
Au 0.7500 0.2500 0.5000
B 0.5000 0.5000 0.0000
B 0.2500 0.7500 0.5000
Rb 0.3750 0.5803 0.7500
Rb 0.3303 0.6250 0.2500
Rb 0.4197 0.1250 0.2500
Rb 0.8750 0.6697 0.7500
Au 0.0000 0.0000 0.0000

**Formation energy from the elements**: 0.9 eV/f.u.



# 3
DFT (GGA-PBE) results for an optimized crystal structure of NiBi2Au.

a b c (Å): 3.7350 3.7350 8.8702
angles (deg): 77.85 77.85 60.00
Fractional positions:
Ni 0.5000 0.5000 0.5000
Bi 0.1065 0.1065 0.6805
Au 0.0000 0.0000 0.0000
Bi 0.8935 0.8935 0.3195

**Formation energy from the elements**: 0.6 eV/f.u.



# 4
DFT (GGA-PBE) results for an optimized crystal structure of Nd8Dy3Y.

a b c (Å): 8.7915 8.7915 8.7914
angles (deg): 96.35 100.13 135.52
Fractional positions:
Nd 0.8373 0.2497 0.0876
Nd 0.9948 0.2319 0.7310
Nd 0.5009 0.2639 0.2690
Nd 0.4991 0.7681 0.7629
Nd 0.0052 0.7361 0.2371
Nd 0.1621 0.7497 0.9124
Dy 0.0000 0.5000 0.5000
Dy 0.5000 0.2486 0.7486
Dy 0.5000 0.7514 0.2514
Nd 0.8379 0.7503 0.5876
Y 0.0000 0.0000 0.0000
Nd 0.1627 0.2503 0.4124

**Formation energy from the elements**: 4.1 eV/f.u.



Number 1: mass density 4.4 g/cm³. Number 2: mass density 3.7 g/cm³. Number 3: mass density 10.8 g/cm³. Number 4: mass density 6.5 g/cm³.